[1]
Material: LaTl2Os3O12
Method: DFT, PBE
State: optimized geometry

abc: 6.904 6.904 6.904
angles: 65.51 65.51 65.51
Atoms (fractional coordinates):
O (0.724, 0.098, 0.724)
O (0.870, 0.870, 0.420)
O (0.420, 0.870, 0.870)
O (0.902, 0.276, 0.276)
O (0.130, 0.580, 0.130)
O (0.276, 0.276, 0.902)
O (0.870, 0.420, 0.870)
O (0.130, 0.130, 0.580)
O (0.098, 0.724, 0.724)
O (0.276, 0.902, 0.276)
O (0.580, 0.130, 0.130)
O (0.724, 0.724, 0.098)
Tl (0.393, 0.393, 0.393)
Tl (0.607, 0.607, 0.607)
Os (0.000, 0.500, 0.000)
Os (0.500, 0.000, 0.000)
Os (0.000, 0.000, 0.500)
La (0.000, 0.000, 0.000)

Space group: No. 166
Crystal system: trigonal



[2]
Material: LaTm2OsO8
Method: DFT, PBE
State: optimized geometry

abc: 5.022 5.023 6.897
angles: 90.00 90.00 89.43
Last column: magnetic moment on the atom in μB.
Atoms (fractional coordinates):
Tm (0.500, 0.500, 0.748)  0.03
Tm (0.500, 0.500, 0.252)  0.03
O (0.732, 0.733, 0.000)  0.01
O (0.188, 0.811, 0.199)  0.04
O (0.319, 0.318, 0.500)  0.00
O (0.681, 0.682, 0.500)  0.00
O (0.812, 0.189, 0.199)  0.04
O (0.812, 0.189, 0.801)  0.04
O (0.268, 0.267, 0.000)  0.01
O (0.188, 0.811, 0.801)  0.04
Os (0.000, 0.000, 0.000)  0.69
La (0.000, 0.000, 0.500)  0.01

Space group: No. 10
Crystal system: monoclinic



[3]
Material: LaTmOsO6
Method: DFT, PBE
State: optimized geometry

abc: 5.495 5.495 10.177
angles: 90.00 90.00 120.00
Last column: magnetic moment on the atom in μB.
Atoms (fractional coordinates):
O (0.378, 0.037, 0.142)  0.07
O (0.622, 0.963, 0.858)  0.07
O (0.340, 0.963, 0.642)  0.07
O (0.340, 0.378, 0.858)  0.07
O (0.037, 0.660, 0.858)  0.07
O (0.660, 0.037, 0.358)  0.07
O (0.963, 0.340, 0.142)  0.07
O (0.622, 0.660, 0.642)  0.07
O (0.378, 0.340, 0.358)  0.07
O (0.660, 0.622, 0.142)  0.07
O (0.037, 0.378, 0.642)  0.07
O (0.963, 0.622, 0.358)  0.07
La (0.000, 0.000, 0.500)  0.05
La (0.000, 0.000, 0.000)  0.05
Os (0.667, 0.333, 0.250)  1.32
Os (0.333, 0.667, 0.750)  1.32
Tm (0.667, 0.333, 0.750)  0.04
Tm (0.333, 0.667, 0.250)  0.04

Space group: No. 163
Crystal system: trigonal



[4]
Material: La6PO12
Method: DFT, PBE
State: optimized geometry

abc: 6.756 6.756 6.756
angles: 98.86 98.86 98.86
Last column: magnetic moment on the atom in μB.
Atoms (fractional coordinates):
O (0.020, 0.741, 0.937)  0.15
O (0.259, 0.063, 0.980)  0.15
O (0.177, 0.445, 0.598)  0.01
O (0.445, 0.598, 0.177)  0.01
O (0.823, 0.555, 0.402)  0.01
O (0.555, 0.402, 0.823)  0.01
O (0.063, 0.980, 0.259)  0.15
O (0.402, 0.823, 0.555)  0.01
O (0.598, 0.177, 0.445)  0.01
O (0.937, 0.020, 0.741)  0.15
O (0.741, 0.937, 0.020)  0.15
O (0.980, 0.259, 0.063)  0.15
La (0.859, 0.401, 0.704)  0.00
La (0.401, 0.704, 0.859)  0.00
La (0.599, 0.296, 0.141)  0.00
La (0.141, 0.599, 0.296)  0.00
La (0.296, 0.141, 0.599)  0.00
La (0.704, 0.859, 0.401)  0.00
P (0.000, 0.000, 0.000)  -0.01

Space group: No. 148
Crystal system: trigonal



no.,total energy (eV/atom),DOS at the Fermi energy (states/eV/cell)
1,-6.975,10.89
2,-7.953,4.39
3,-8.008,10.82
4,-8.013,8.57